## RuAuBr2 (PBE)

Data for a geometry-optimized RuAuBr2 structure.

Unit cell a=6.961 b=6.961 c=6.961 alpha=154.80 beta=141.10 gamma=46.92
Fractional coordinates of all 4 atoms:
Ru 0.512 0.512 0.000
Au 0.329 0.829 0.500
Br 0.989 0.989 0.000
Br 0.671 0.171 0.500

Values from the calculation:
Relative energy among the computed polymorphs, meV per atom: 296
Size of the total moment, μB/f.u.: 0.00
E, eV per formula unit: -13.94
Formation energy without anion corrections, eV per atom: 0.49

---

## RuAuBr2 (PBE)

Data for a geometry-optimized RuAuBr2 structure.

Unit cell a=3.685 b=7.017 c=7.006 alpha=43.99 beta=90.00 gamma=90.00
Site moments in Bohr magnetons follow the coordinates.
Fractional coordinates of all 4 atoms:
Ru 0.500 0.250 0.250  0.99
Au 0.500 0.750 0.750  0.13
Br 0.000 0.123 0.122  0.05
Br 0.000 0.377 0.378  0.05

Values from the calculation:
Relative energy among the computed polymorphs, meV per atom: 67
Size of the total moment, μB/f.u.: 1.31
E, eV per formula unit: -14.86
Formation energy without anion corrections, eV per atom: 0.26

---

## Ru2AuBr (PBE)

Data for a geometry-optimized Ru2AuBr structure.

Unit cell a=9.948 b=9.948 c=9.948 alpha=16.72 beta=16.72 gamma=16.72
Fractional coordinates of all 4 atoms:
Ru 0.992 0.992 0.992
Ru 0.260 0.260 0.260
Au 0.512 0.512 0.512
Br 0.735 0.735 0.735

Values from the calculation:
Relative energy among the computed polymorphs, meV per atom: 85
Size of the total moment, μB/f.u.: 0.00
E, eV per formula unit: -21.61
Formation energy without anion corrections, eV per atom: 0.47

---

## Ru4AuBr (PBE)

Data for a geometry-optimized Ru4AuBr structure.

Unit cell a=5.226 b=5.226 c=5.226 alpha=60.00 beta=60.00 gamma=60.00
Site moments in Bohr magnetons follow the coordinates.
Fractional coordinates of all 6 atoms:
Ru 0.877 0.374 0.374  0.85
Ru 0.374 0.374 0.877  0.85
Ru 0.374 0.877 0.374  0.85
Ru 0.374 0.374 0.374  0.85
Au 0.750 0.750 0.750  0.01
Br 0.000 0.000 0.000  0.02

Values from the calculation:
Size of the total moment, μB/f.u.: 3.56
E, eV per formula unit: -35.84
Formation energy without anion corrections, eV per atom: 1.04

---

## RuAuBr2 (PBE)

Data for a geometry-optimized RuAuBr2 structure.

Unit cell a=3.119 b=3.119 c=9.817 alpha=90.00 beta=90.00 gamma=90.00
Site moments in Bohr magnetons follow the coordinates.
Fractional coordinates of all 4 atoms:
Ru 0.500 0.500 0.250  1.89
Au 0.500 0.500 0.750  0.02
Br 0.000 0.000 0.080  0.15
Br 0.000 0.000 0.420  0.15

Values from the calculation:
Relative energy among the computed polymorphs, meV per atom: 502
Size of the total moment, μB/f.u.: 2.40
E, eV per formula unit: -13.12
Formation energy without anion corrections, eV per atom: 0.70

---

## RuAuSeBr2 (PBE)

Data for a geometry-optimized RuAuSeBr2 structure.

Unit cell a=5.237 b=5.237 c=4.608 alpha=90.00 beta=90.00 gamma=90.00
Fractional coordinates of all 5 atoms:
Ru 0.000 0.000 0.000
Au 0.500 0.500 0.500
Se 0.000 0.000 0.500
Br 0.000 0.500 0.000
Br 0.500 0.000 0.000

Values from the calculation:
Relative energy among the computed polymorphs, meV per atom: 0
Size of the total moment, μB/f.u.: 0.00
E, eV per formula unit: -17.08
Formation energy without anion corrections, eV per atom: 0.46

---

## Sm6Ru2AuBr3 (PBE)

Data for a geometry-optimized Sm6Ru2AuBr3 structure.

Unit cell a=7.139 b=7.139 c=8.127 alpha=98.38 beta=98.38 gamma=120.01
Fractional coordinates of all 12 atoms:
Sm 0.934 0.578 0.802
Sm 0.709 0.709 0.197
Sm 0.066 0.422 0.198
Sm 0.578 0.934 0.802
Sm 0.291 0.291 0.803
Sm 0.422 0.066 0.198
Ru 0.333 0.667 0.000
Ru 0.667 0.333 0.000
Au 0.000 0.000 0.000
Br 0.169 0.831 0.500
Br 0.831 0.169 0.500
Br 0.500 0.500 0.500

Values from the calculation:
Size of the total moment, μB/f.u.: 0.00
E, eV per formula unit: -65.99
Formation energy without anion corrections, eV per atom: -0.90

---

## TiRuAu2Br (PBE)

Data for a geometry-optimized TiRuAu2Br structure.

Unit cell a=4.879 b=4.598 c=4.879 alpha=90.00 beta=90.00 gamma=90.00
Site moments in Bohr magnetons follow the coordinates.
Fractional coordinates of all 5 atoms:
Ru 0.500 0.500 0.500  -0.04
Au 0.000 0.000 0.500  0.01
Au 0.500 0.000 0.000  0.01
Br 0.000 0.000 0.000  -0.01
Ti 0.000 0.500 0.000  0.53

Values from the calculation:
Size of the total moment, μB/f.u.: 0.58
E, eV per formula unit: -18.34
Formation energy without anion corrections, eV per atom: 1.41

---

## TlRuAuBr6 (PBE)

Data for a geometry-optimized TlRuAuBr6 structure.

Unit cell a=7.467 b=6.850 c=7.044 alpha=87.06 beta=84.71 gamma=57.09
Site moments in Bohr magnetons follow the coordinates.
Fractional coordinates of all 9 atoms:
Tl 0.987 0.025 0.997  0.01
Ru 0.328 0.346 0.500  0.82
Au 0.675 0.657 0.500  0.12
Br 0.046 0.346 0.331  0.06
Br 0.369 0.008 0.711  0.04
Br 0.609 0.342 0.668  0.06
Br 0.045 0.623 0.738  0.06
Br 0.323 0.637 0.273  0.06
Br 0.618 0.017 0.281  0.04

Values from the calculation:
Size of the total moment, μB/f.u.: 1.44
E, eV per formula unit: -27.64
Formation energy without anion corrections, eV per atom: -0.30

---

## Y2RuAuBr (PBE)

Data for a geometry-optimized Y2RuAuBr structure.

Unit cell a=5.569 b=4.831 c=5.569 alpha=90.00 beta=90.00 gamma=90.00
Fractional coordinates of all 5 atoms:
Y 0.000 0.000 0.500
Y 0.500 0.000 0.000
Ru 0.000 0.500 0.000
Au 0.000 0.000 0.000
Br 0.500 0.500 0.500

Values from the calculation:
Size of the total moment, μB/f.u.: 0.00
E, eV per formula unit: -25.66
Formation energy without anion corrections, eV per atom: 0.30

---

## Au2SBr (PBE)

Data for a geometry-optimized Au2SBr structure.

Unit cell a=4.843 b=4.843 c=4.843 alpha=60.00 beta=60.00 gamma=60.00
Fractional coordinates of all 4 atoms:
S 0.000 0.000 0.000
Au 0.250 0.250 0.250
Au 0.750 0.750 0.750
Br 0.500 0.500 0.500

Values from the calculation:
Relative energy among the computed polymorphs, meV per atom: 586
Size of the total moment, μB/f.u.: 0.00
E, eV per formula unit: -9.62
Formation energy without anion corrections, eV per atom: 0.68

---

## AuS4Br2 (PBE)

Data for a geometry-optimized AuS4Br2 structure.

Unit cell a=12.703 b=11.297 c=11.297 alpha=37.65 beta=43.05 gamma=43.05
Fractional coordinates of all 14 atoms:
Au 0.601 0.693 0.085
Au 0.101 0.835 0.943
S 0.695 0.152 0.023
S 0.667 0.748 0.305
S 0.167 0.055 0.998
S 0.885 0.090 0.019
S 0.277 0.883 0.911
S 0.195 0.773 0.402
S 0.777 0.662 0.133
S 0.385 0.769 0.340
Br 0.194 0.414 0.676
Br 0.694 0.426 0.664
Br 0.180 0.589 0.911
Br 0.680 0.661 0.839

Values from the calculation:
Size of the total moment, μB/f.u.: 0.00
E, eV per formula unit: -22.54
Formation energy without anion corrections, eV per atom: 0.08

---

## AuS3Br (PBE)

Data for a geometry-optimized AuS3Br structure.

Unit cell a=4.923 b=4.923 c=4.923 alpha=90.00 beta=90.00 gamma=90.00
Site moments in Bohr magnetons follow the coordinates.
Fractional coordinates of all 5 atoms:
S 0.000 0.500 0.000  0.51
S 0.000 0.000 0.500  0.51
S 0.500 0.000 0.000  0.69
Au 0.000 0.000 0.000  0.07
Br 0.500 0.500 0.500  0.57

Values from the calculation:
Relative energy among the computed polymorphs, meV per atom: 949
Size of the total moment, μB/f.u.: 3.42
E, eV per formula unit: -12.59
Formation energy without anion corrections, eV per atom: 0.95

---

## AuS2Br (PBE)

Data for a geometry-optimized AuS2Br structure.

Unit cell a=4.639 b=7.619 c=7.619 alpha=111.89 beta=90.00 gamma=90.00
Fractional coordinates of all 8 atoms:
Au 0.000 0.283 0.283
Au 0.500 0.717 0.717
S 0.297 0.212 0.010
S 0.203 0.990 0.788
S 0.797 0.788 0.990
S 0.703 0.010 0.212
Br 0.750 0.382 0.618
Br 0.250 0.618 0.382

Values from the calculation:
Size of the total moment, μB/f.u.: 0.00
E, eV per formula unit: -13.48
Formation energy without anion corrections, eV per atom: -0.07

---

## AuS2Br8 (PBE)

Data for a geometry-optimized AuS2Br8 structure.

Unit cell a=7.881 b=5.000 c=16.554 alpha=108.78 beta=121.62 gamma=109.85
Fractional coordinates of all 11 atoms:
Au 0.000 0.000 0.000
S 0.833 0.578 0.638
S 0.167 0.422 0.362
Br 0.920 0.248 0.120
Br 0.399 0.176 0.179
Br 0.080 0.752 0.880
Br 0.402 0.743 0.560
Br 0.601 0.824 0.821
Br 0.842 0.890 0.281
Br 0.158 0.110 0.719
Br 0.598 0.257 0.440

Values from the calculation:
Size of the total moment, μB/f.u.: 0.00
E, eV per formula unit: -24.96
Formation energy without anion corrections, eV per atom: 0.00

---

## AuS2Br (PBE)

Data for a geometry-optimized AuS2Br structure.

Unit cell a=5.707 b=5.707 c=5.707 alpha=51.94 beta=51.94 gamma=51.94
Fractional coordinates of all 4 atoms:
S 0.847 0.847 0.847
S 0.153 0.153 0.153
Au 0.000 0.000 0.000
Br 0.500 0.500 0.500

Values from the calculation:
Size of the total moment, μB/f.u.: 0.00
E, eV per formula unit: -11.24
Formation energy without anion corrections, eV per atom: 0.49

---

## AuS3Br (PBE)

Data for a geometry-optimized AuS3Br structure.

Unit cell a=8.510 b=6.313 c=7.340 alpha=36.94 beta=46.10 gamma=44.95
Fractional coordinates of all 5 atoms:
Au 0.203 0.087 0.429
S 0.570 0.664 0.044
S 0.482 0.555 0.464
S 0.323 0.138 0.828
Br 0.932 0.673 0.360

Values from the calculation:
Relative energy among the computed polymorphs, meV per atom: 0
Size of the total moment, μB/f.u.: 0.00
E, eV per formula unit: -17.34
Formation energy without anion corrections, eV per atom: 0.00

---

## AuS8Br2 (PBE)

Data for a geometry-optimized AuS8Br2 structure.

Unit cell a=8.778 b=11.950 c=11.950 alpha=30.84 beta=134.93 gamma=134.93
Fractional coordinates of all 11 atoms:
Au 0.000 0.000 0.000
S 0.008 0.100 0.569
S 0.992 0.431 0.900
S 0.873 0.240 0.240
S 0.127 0.760 0.760
S 0.008 0.569 0.100
S 0.992 0.900 0.431
S 0.164 0.428 0.428
S 0.836 0.572 0.572
Br 0.267 0.996 0.996
Br 0.733 0.004 0.004

Values from the calculation:
Size of the total moment, μB/f.u.: 0.03
E, eV per formula unit: -37.18
Formation energy without anion corrections, eV per atom: 0.22

---

## AuS6Br2 (PBE)

Data for a geometry-optimized AuS6Br2 structure.

Unit cell a=12.355 b=6.497 c=12.355 alpha=55.04 beta=82.49 gamma=55.04
Site moments in Bohr magnetons follow the coordinates.
Fractional coordinates of all 18 atoms:
Au 0.912 0.750 0.088  0.09
Au 0.088 0.250 0.912  0.09
S 0.355 0.643 0.610  0.28
S 0.390 0.857 0.645  0.28
S 0.645 0.357 0.390  0.28
S 0.610 0.143 0.355  0.28
S 0.009 0.982 0.676  0.29
S 0.324 0.518 0.991  0.29
S 0.991 0.018 0.324  0.29
S 0.676 0.482 0.009  0.29
S 0.245 0.714 0.087  0.27
S 0.913 0.786 0.755  0.27
S 0.755 0.286 0.913  0.27
S 0.087 0.214 0.245  0.27
Br 0.478 0.947 0.187  0.04
Br 0.813 0.553 0.522  0.04
Br 0.522 0.053 0.813  0.04
Br 0.187 0.447 0.478  0.04

Values from the calculation:
Size of the total moment, μB/f.u.: 2.97
E, eV per formula unit: -29.56
Formation energy without anion corrections, eV per atom: 0.20

---

## AuS2Br (PBE)

Data for a geometry-optimized AuS2Br structure.

Unit cell a=6.993 b=6.993 c=6.187 alpha=55.59 beta=55.59 gamma=90.00
Fractional coordinates of all 8 atoms:
S 0.674 0.125 0.250
S 0.076 0.625 0.250
S 0.375 0.326 0.750
S 0.875 0.924 0.750
Au 0.000 0.000 0.000
Au 0.750 0.250 0.500
Br 0.500 0.500 0.000
Br 0.250 0.750 0.500

Values from the calculation:
Size of the total moment, μB/f.u.: 0.00
E, eV per formula unit: -11.06
Formation energy without anion corrections, eV per atom: 0.54

---

## AuS2Br (PBE)

Data for a geometry-optimized AuS2Br structure.

Unit cell a=4.740 b=4.740 c=4.740 alpha=60.00 beta=60.00 gamma=60.00
Fractional coordinates of all 4 atoms:
S 0.250 0.250 0.250
S 0.750 0.750 0.750
Au 0.500 0.500 0.500
Br 0.000 0.000 0.000

Values from the calculation:
Size of the total moment, μB/f.u.: 0.00
E, eV per formula unit: -9.38
Formation energy without anion corrections, eV per atom: 0.96

---

## AuS2Br (PBE)

Data for a geometry-optimized AuS2Br structure.

Unit cell a=7.742 b=7.742 c=7.742 alpha=29.16 beta=29.16 gamma=29.16
Fractional coordinates of all 4 atoms:
S 0.888 0.888 0.888
S 0.112 0.112 0.112
Au 0.500 0.500 0.500
Br 0.000 0.000 0.000

Values from the calculation:
Size of the total moment, μB/f.u.: 0.00
E, eV per formula unit: -12.46
Formation energy without anion corrections, eV per atom: 0.19

---

## Au2SBr (PBE)

Data for a geometry-optimized Au2SBr structure.

Unit cell a=5.784 b=5.784 c=7.583 alpha=67.58 beta=67.58 gamma=90.00
Fractional coordinates of all 8 atoms:
S 0.500 0.500 0.000
S 0.250 0.750 0.500
Au 0.541 0.125 0.250
Au 0.209 0.625 0.250
Au 0.375 0.459 0.750
Au 0.875 0.791 0.750
Br 0.000 0.000 0.000
Br 0.750 0.250 0.500

Values from the calculation:
Relative energy among the computed polymorphs, meV per atom: 0
Size of the total moment, μB/f.u.: 0.00
E, eV per formula unit: -11.97
Formation energy without anion corrections, eV per atom: 0.10

---

## AuS2Br3 (PBE)

Data for a geometry-optimized AuS2Br3 structure.

Unit cell a=6.270 b=6.270 c=19.379 alpha=100.82 beta=100.82 gamma=143.08
Fractional coordinates of all 12 atoms:
Au 0.108 0.892 0.250
Au 0.892 0.108 0.750
S 0.885 0.402 0.136
S 0.598 0.115 0.364
S 0.115 0.598 0.864
S 0.402 0.885 0.636
Br 0.247 0.461 0.538
Br 0.539 0.753 0.962
Br 0.753 0.539 0.462
Br 0.461 0.247 0.038
Br 0.448 0.552 0.250
Br 0.552 0.448 0.750

Values from the calculation:
Size of the total moment, μB/f.u.: 0.00
E, eV per formula unit: -15.29
Formation energy without anion corrections, eV per atom: 0.21

---

## Au2SBr2 (PBE)

Data for a geometry-optimized Au2SBr2 structure.

Unit cell a=7.325 b=8.542 c=6.082 alpha=90.61 beta=69.19 gamma=55.99
Fractional coordinates of all 10 atoms:
Au 0.608 0.568 0.168
Au 0.392 0.432 0.832
Au 0.532 0.049 0.274
Au 0.468 0.951 0.726
S 0.391 0.900 0.140
S 0.609 0.100 0.860
Br 0.047 0.653 0.240
Br 0.953 0.347 0.760
Br 0.331 0.750 0.630
Br 0.669 0.250 0.370

Values from the calculation:
Size of the total moment, μB/f.u.: 0.00
E, eV per formula unit: -13.79
Formation energy without anion corrections, eV per atom: 0.05